VASP calculation (GGA-PBE) on crystalline Ba6AgPt2 at its relaxed geometry.

```
Ba6AgPt2
1.0
4.031 2.328 7.603
-4.031 2.328 7.603
0.000 -4.655 7.603
Ba Ag Pt
6 1 2
Cartesian
2.635 0.091 15.207
-2.442 0.042 11.435
-1.239 -2.328 15.207
1.185 -2.136 11.435
-1.396 2.237 15.207
1.258 2.094 11.435
0.000 0.000 20.861
0.000 0.000 9.393
0.000 0.000 13.460
```

Energy of formation from the pure elements, eV per atom: -0.47
Calculated volume, Å³/cell: 428


VASP calculation (GGA-PBE) on crystalline Pr3SbO6 at its relaxed geometry.

```
Pr3SbO6
1.0
4.685 -5.888 0.000
4.685 5.888 0.000
0.000 0.000 6.161
Pr Sb O
6 2 12
Cartesian
4.685 4.730 3.080
2.849 1.260 2.820
2.849 -1.260 5.901
6.520 1.260 2.820
6.520 -1.260 5.901
4.685 -4.730 0.000
4.685 2.065 5.692
4.685 -2.065 2.612
3.218 3.038 4.731
1.522 0.161 4.507
1.522 -0.161 1.427
4.685 2.597 2.245
6.152 3.038 4.731
4.685 0.401 4.482
4.685 -0.401 1.401
3.218 -3.038 1.650
4.685 -2.597 5.325
7.847 0.161 4.507
7.847 -0.161 1.427
6.152 -3.038 1.650
```

Raw formation energy, eV/atom: -2.795
Calculated volume, Å³/cell: 340


VASP calculation (GGA-PBE) on crystalline CsHfTlPb2 at its relaxed geometry.

```
CsHfTlPb2
1.0
5.734 0.000 0.000
0.000 5.734 0.000
0.000 0.000 5.844
Cs Hf Tl Pb
1 1 1 2
Cartesian
0.000 0.000 0.000
2.867 2.867 2.922
2.867 2.867 0.000
0.000 2.867 2.922
2.867 0.000 2.922
```

Energy of formation from the pure elements, eV per atom: 0.07
Calculated volume, Å³/cell: 192


VASP calculation (GGA-PBE) on crystalline InGaPb4 at its relaxed geometry.

```
InGaPb4
1.0
3.494 0.000 0.000
0.000 3.494 0.000
0.000 0.000 14.261
In Ga Pb
1 1 4
Cartesian
0.000 0.000 0.000
1.747 1.747 7.130
0.000 0.000 4.996
0.000 0.000 9.264
1.747 1.747 2.440
1.747 1.747 11.820
```

Energy of formation from the pure elements, eV per atom: 0.03
Calculated volume, Å³/cell: 174
Excess energy over the best structure of this formula in the dataset, eV/atom: 0.0000


VASP calculation (GGA-PBE) on crystalline Ta3POs at its relaxed geometry.

```
Ta3POs
1.0
4.509 0.000 0.000
0.000 4.509 0.000
0.000 0.000 4.509
Ta P Os
3 1 1
Cartesian
0.000 0.000 2.255
0.000 2.255 0.000
2.255 0.000 0.000
0.000 0.000 0.000
2.255 2.255 2.255
```

Energy of formation from the pure elements, eV per atom: 0.54
Calculated volume, Å³/cell: 92
Excess energy over the best structure of this formula in the dataset, eV/atom: 0.0000


VASP calculation (GGA-PBE) on crystalline PaI6Br3 at its relaxed geometry.

```
PaI6Br3
1.0
6.283 -11.345 0.000
6.283 11.345 0.000
0.000 0.000 7.601
Pa I Br
2 12 6
Cartesian
6.283 7.346 3.800
6.283 -7.346 0.000
6.283 9.911 2.384
4.265 5.351 4.367
6.283 6.290 1.085
4.028 2.123 0.503
4.028 -2.123 4.303
8.302 5.351 4.367
4.265 -5.351 0.566
8.538 2.123 0.503
8.538 -2.123 4.303
6.283 -6.290 4.885
8.302 -5.351 0.566
6.283 -9.911 6.185
1.695 2.496 1.903
1.695 -2.496 5.703
6.283 1.624 6.660
6.283 -1.624 2.860
10.872 2.496 1.903
10.872 -2.496 5.703
```

Raw formation energy, eV/atom: -0.564
Calculated volume, Å³/cell: 1084


VASP calculation (GGA-PBE) on crystalline Na14SrLi at its relaxed geometry.

```
Na14SrLi
1.0
5.335 -5.346 0.000
5.335 5.346 0.000
0.000 0.000 10.466
Na Sr Li
14 1 1
Cartesian
0.000 0.000 0.000
2.668 2.673 0.000
2.668 2.673 5.233
2.550 0.000 2.606
2.550 0.000 7.860
5.335 2.793 2.604
5.335 2.793 7.861
2.668 -2.673 0.000
2.668 -2.673 5.233
5.335 0.000 0.000
5.335 -2.793 2.604
5.335 -2.793 7.861
8.121 0.000 2.606
8.121 0.000 7.860
5.335 0.000 5.233
0.000 0.000 5.233
```

Energy of formation from the pure elements, eV per atom: 0.04
Calculated volume, Å³/cell: 597


VASP calculation (GGA-PBE) on crystalline PmDy3As4 at its relaxed geometry.

```
PmDy3As4
1.0
5.866 0.000 0.000
0.000 5.866 0.000
0.000 0.000 5.866
Pm Dy As
1 3 4
Cartesian
0.000 0.000 0.000
0.000 2.933 2.933
2.933 0.000 2.933
2.933 2.933 0.000
0.000 0.000 2.933
0.000 2.933 0.000
2.933 0.000 0.000
2.933 2.933 2.933
```

Energy of formation from the pure elements, eV per atom: -1.53
Calculated volume, Å³/cell: 202


VASP calculation (GGA-PBE) on crystalline Tl3VAs at its relaxed geometry.

```
Tl3VAs
1.0
5.549 0.000 0.000
0.000 5.549 0.000
0.000 0.000 5.549
Tl V As
3 1 1
Cartesian
0.000 0.000 2.775
0.000 2.775 0.000
2.775 0.000 0.000
2.775 2.775 2.775
0.000 0.000 0.000
```

Energy of formation from the pure elements, eV per atom: 0.98
Calculated volume, Å³/cell: 171
Excess energy over the best structure of this formula in the dataset, eV/atom: 0.2269


VASP calculation (GGA-PBE) on crystalline Hg5Mo at its relaxed geometry.

```
Hg5Mo
1.0
2.804 1.619 4.893
-2.804 1.619 4.893
0.000 -3.238 4.893
Hg Mo
5 1
Cartesian
-1.707 -0.282 4.893
0.000 0.000 2.156
1.097 -1.337 4.893
0.609 1.619 4.893
0.000 0.000 12.524
0.000 0.000 7.340
```

Energy of formation from the pure elements, eV per atom: 0.48
Calculated volume, Å³/cell: 133
Excess energy over the best structure of this formula in the dataset, eV/atom: 0.1123